VASP calculation (PBE) on a relaxed structure of CaPmSiGe.

Calculated values
As for the total energy: -4.612 eV/atom. For the spin magnetization, the calculation gives 0.00 μB/f.u. The formation energy from raw total energies comes out at -0.414 eV/atom. The density of states at the Fermi level is 3.419 states/eV/f.u.

a b c (Å): 5.134 5.134 5.134
angles (deg): 60.00 60.00 60.00
Positions (direct):
Ca (0.000, 0.000, 0.000)
Pm (0.500, 0.500, 0.500)
Si (0.750, 0.750, 0.750)
Ge (0.250, 0.250, 0.250)